Record 1
The following is a PBE-GGA calculation of a relaxed CaSiP3 crystal, from the Alexandria database.

Values from the calculation:
The calculation puts the total magnetization at 0.0 μB/cell. As for the formation energy without anion corrections: 1.39 eV per atom.

abc: 5.1145 5.1145 5.1145
angles: 90.00 90.00 90.00
Fractional coordinates of all 5 atoms:
Si: 0.5000 0.5000 0.5000
P: 0.0000 0.0000 0.5000
P: 0.0000 0.5000 0.0000
Ca: 0.0000 0.0000 0.0000
P: 0.5000 0.0000 0.0000

---

Record 2
The following is a PBE-GGA calculation of a relaxed ThNi2Ge3 crystal, from the Alexandria database.

Values from the calculation:
The calculation puts the formation enthalpy at 0 K at -0.444 eV per atom. The calculation puts the total magnetization at 0.0 μB/cell.

abc: 5.8489 6.1500 6.1500
angles: 102.15 90.00 90.00
Fractional coordinates of all 12 atoms:
Ni: 0.0000 0.1673 0.1673
Ge: 0.2500 0.2189 0.4600
Ge: 0.7500 0.7811 0.5400
Ge: 0.2500 0.5400 0.7811
Ge: 0.7500 0.4600 0.2189
Ge: 0.7500 0.8624 0.1376
Th: 0.7500 0.3042 0.6958
Ge: 0.2500 0.1376 0.8624
Ni: 0.5000 0.8327 0.8327
Ni: 0.0000 0.8327 0.8327
Ni: 0.5000 0.1673 0.1673
Th: 0.2500 0.6958 0.3042

---

Record 3
The following is a PBE-GGA calculation of a relaxed TlHRhW2 crystal, from the Alexandria database.

Values from the calculation:
Its total DFT energy (no corrections) is -28.86 eV/cell. The calculation puts the total magnetization at 0.0 μB/cell.

abc: 5.2404 3.0657 5.2404
angles: 90.00 90.00 90.00
Fractional coordinates of all 5 atoms:
H: 0.0000 0.5000 0.0000
Tl: 0.0000 0.0000 0.0000
W: 0.0000 0.0000 0.5000
W: 0.5000 0.0000 0.0000
Rh: 0.5000 0.5000 0.5000

---

Record 4
The following is a PBE-GGA calculation of a relaxed SeS2F crystal, from the Alexandria database.

Values from the calculation:
The calculation puts the total magnetization at 0.0 μB/cell. As for the formation energy without anion corrections: 0.33 eV per atom.

abc: 4.3979 4.3979 4.3979
angles: 60.00 60.00 60.00
Fractional coordinates of all 4 atoms:
S: 0.2500 0.2500 0.2500
Se: 0.5000 0.5000 0.5000
F: 0.0000 0.0000 0.0000
S: 0.7500 0.7500 0.7500

---

Record 5
The following is a PBE-GGA calculation of a relaxed Sr2LiTl5 crystal, from the Alexandria database.

Values from the calculation:
The calculation puts the formation enthalpy at 0 K at -0.239 eV per atom. The calculation puts the total magnetization at 0.0 μB/cell.

abc: 4.9859 9.7074 10.6622
angles: 90.00 90.00 104.88
Fractional coordinates of all 16 atoms:
Sr: 0.0000 0.0000 0.5000
Tl: 0.8058 0.6116 0.4021
Tl: 0.5948 0.1897 0.7500
Tl: 0.4052 0.8103 0.2500
Tl: 0.6327 0.2655 0.0450
Li: 0.5488 0.0975 0.2500
Tl: 0.1942 0.3884 0.5979
Tl: 0.6327 0.2655 0.4550
Tl: 0.1942 0.3884 0.9021
Tl: 0.3673 0.7345 0.5450
Tl: 0.8058 0.6116 0.0979
Sr: 0.0000 0.0000 0.0000
Li: 0.4512 0.9025 0.7500
Sr: 0.2052 0.4104 0.2500
Sr: 0.7948 0.5896 0.7500
Tl: 0.3673 0.7345 0.9550

---

Record 6
The following is a PBE-GGA calculation of a relaxed NdGaHg crystal, from the Alexandria database.

Values from the calculation:
The calculation puts the formation enthalpy at 0 K at -0.531 eV per atom. The calculation puts the total magnetization at 0.0 μB/cell.

abc: 4.6843 6.0516 6.0237
angles: 77.10 67.12 67.23
Fractional coordinates of all 6 atoms:
Hg: 0.8267 0.2335 0.1132
Nd: 0.4629 0.7899 0.2843
Hg: 0.1733 0.7665 0.8868
Nd: 0.5371 0.2101 0.7157
Ga: 0.1542 0.3732 0.3183
Ga: 0.8458 0.6268 0.6817